# 1
This record from the Alexandria database describes crystalline PmPr2MgN at its relaxed geometry. The functional is PBE.

Cell: 5.0079 5.1437 5.1437 Å, 90.00 90.00 90.00°
Closest atoms and distances in Å follow each position.
Atoms (fractional coordinates):
Pm: 0.5000 0.0000 0.0000  2 N 2.50
Pr: 0.0000 0.0000 0.5000  2 N 2.57
Pr: 0.0000 0.5000 0.0000  2 N 2.57
Mg: 0.5000 0.5000 0.5000  8 Pr 3.59, 4 Pm 3.64
N: 0.0000 0.0000 0.0000  2 Pm 2.50, 4 Pr 2.57

Summary:
**Symmetry**: No. 123
**Formation energy (no corrections)**: -2.900 eV per formula unit

***

# 2
This record from the Alexandria database describes crystalline B3PdPt5 at its relaxed geometry. The functional is PBE.

Cell: 5.0396 5.0396 9.6499 Å, 89.71 89.71 89.28°
Closest atoms and distances in Å follow each position.
Atoms (fractional coordinates):
B: 0.5085 0.5085 0.8341  5 Pt 2.14-2.15, 1 Pd 2.17
B: 0.0048 0.0048 0.3348  5 Pt 2.11-2.14, 1 Pd 2.21
B: 0.0000 0.0000 0.0000  4 Pt 2.11-2.13, 2 Pd 2.19
B: 0.5000 0.5000 0.5000  6 Pt 2.15
B: 0.4915 0.4915 0.1659  5 Pt 2.14-2.15, 1 Pd 2.17
B: 0.9952 0.9952 0.6652  5 Pt 2.11-2.14, 1 Pd 2.21
Pd: 0.2059 0.2059 0.8315  3 B 2.17-2.21
Pd: 0.7941 0.7941 0.1685  3 B 2.17-2.21
Pt: 0.6853 0.2869 0.3323  3 B 2.13-2.15
Pt: 0.6994 0.3006 0.0000  3 B 2.13-2.14
Pt: 0.1914 0.1914 0.1647  3 B 2.11-2.15
Pt: 0.1995 0.1995 0.5024  3 B 2.14-2.15
Pt: 0.8005 0.8005 0.4976  3 B 2.14-2.15
Pt: 0.8086 0.8086 0.8353  3 B 2.11-2.15
Pt: 0.2869 0.6853 0.3323  3 B 2.13-2.15
Pt: 0.3006 0.6994 0.0000  3 B 2.13-2.14
Pt: 0.3147 0.7131 0.6677  3 B 2.13-2.15
Pt: 0.7131 0.3147 0.6677  3 B 2.13-2.15

Summary:
**Formation enthalpy at 0 K**: -224 meV per atom
**Symmetry**: No. 12

***

no.,M_tot (μB/f.u.)
1,0.00
2,0.00